Computed, not measured: a geometry-optimized Sm4CoBrCl2 structure at the PBE level of DFT.

a b c (Å): 3.932 7.759 7.288
angles (deg): 108.70 90.00 90.00
Fractional coordinates of all 8 atoms:
Co  0.500  0.500  0.000
Sm  0.000  0.704  0.209
Sm  0.000  0.296  0.791
Sm  0.500  0.702  0.761
Sm  0.500  0.298  0.239
Br  0.000  0.000  0.000
Cl  0.500  0.000  0.500
Cl  0.000  0.500  0.500

## Properties
For the calculated total energy, the calculation gives -4.94 eV per atom. The calculation puts the formation energy without anion corrections at -787 kJ/mol of formula units.